Cr3GeO | GGA+U | relaxed

Lattice parameters (Å, degrees): 4.0019 4.0019 4.0019 90.00 90.00 90.00
Last column: nearest neighbours and their distance in Å.
Atoms (fractional coordinates):
Cr (0.0000, 0.5000, 0.0000)  2 O 2.00
Cr (0.0000, 0.0000, 0.5000)  2 O 2.00
Cr (0.5000, 0.0000, 0.0000)  2 O 2.00
Ge (0.5000, 0.5000, 0.5000)  12 Cr 2.83
O (0.0000, 0.0000, 0.0000)  6 Cr 2.00

Results
spin magnetization = 1.3 Bohr magnetons per cell
distance to the lowest polymorph of the same formula = 0 meV per atom
SG = Pm-3m (221)
V = 12.8 A^3/atom